The following is a DFT calculation (PBE) of a geometry-optimized TiReSb2Te structure.

Calculated values
The calculated volume comes out at 29.3 Å³/atom. The energy relative to the lowest polymorph listed for this composition is 0 meV/atom. The value obtained for the total energy is -5.4042 eV per atom. The uncorrected formation energy is 0.94 eV/atom. As for the space group: P4/mmm. The calculation puts the density of states at the Fermi level at 1.86 states/eV/atom.

Unit cell a=5.0384 b=5.0384 c=5.7745 alpha=90.00 beta=90.00 gamma=90.00
With the nearest neighbours (Å) after each atom.
Fractional coordinates of all 5 atoms:
Ti  0.0000  0.0000  0.0000  4 Te 3.56, 8 Sb 3.83
Re  0.5000  0.5000  0.5000  4 Sb 2.52
Sb  0.0000  0.5000  0.5000  2 Re 2.52
Sb  0.5000  0.0000  0.5000  2 Re 2.52
Te  0.5000  0.5000  0.0000  2 Re 2.89

---

The following is a DFT calculation (PBE) of a geometry-optimized PrErGa structure.

Calculated values
For the formation energy, the calculation gives -0.4038 eV per atom. The calculated volume comes out at 27.6 Å³/atom. The energy relative to the lowest polymorph listed for this composition is 0 meV/atom. The value obtained for the total energy is -4.5268 eV per atom. As for the space group: P-62m. The calculation puts the density of states at the Fermi level at 1.13 states/eV/atom.

Unit cell a=8.0011 b=8.0011 c=4.4881 alpha=90.00 beta=90.00 gamma=120.00
With the nearest neighbours (Å) after each atom.
Fractional coordinates of all 9 atoms:
Pr  0.0000  0.6022  0.0000  5 Ga 3.18-3.32, 2 Er 3.51
Pr  0.3978  0.3978  0.0000  5 Ga 3.18-3.32, 2 Er 3.51
Pr  0.6022  0.0000  0.0000  5 Ga 3.18-3.32, 2 Er 3.51
Er  0.0000  0.2655  0.5000  4 Ga 2.98-3.09
Er  0.2655  0.0000  0.5000  4 Ga 2.98-3.09
Er  0.7345  0.7345  0.5000  4 Ga 2.98-3.09
Ga  0.0000  0.0000  0.0000  6 Er 3.09, 3 Pr 3.18
Ga  0.3333  0.6667  0.5000  3 Er 2.98, 6 Pr 3.32
Ga  0.6667  0.3333  0.5000  3 Er 2.98, 6 Pr 3.32

---

The following is a DFT calculation (PBE) of a geometry-optimized Hf3NbSn structure.

Calculated values
For the formation energy, the calculation gives 0.8705 eV per atom. The calculated volume comes out at 26.1 Å³/atom. The energy relative to the lowest polymorph listed for this composition is 978 meV/atom. The value obtained for the total energy is -7.9160 eV per atom. As for the space group: Pm-3m. The calculation puts the density of states at the Fermi level at 1.78 states/eV/atom.

Unit cell a=5.0701 b=5.0701 c=5.0701 alpha=90.00 beta=90.00 gamma=90.00
With the nearest neighbours (Å) after each atom.
Fractional coordinates of all 5 atoms:
Hf  0.0000  0.0000  0.5000  2 Nb 2.54
Hf  0.0000  0.5000  0.0000  2 Nb 2.54
Hf  0.5000  0.0000  0.0000  2 Nb 2.54
Nb  0.0000  0.0000  0.0000  6 Hf 2.54
Sn  0.5000  0.5000  0.5000  12 Hf 3.59

---

The following is a DFT calculation (PBE) of a geometry-optimized MnAs2WBr structure.

Calculated values
The calculated volume comes out at 25.5 Å³/atom. The energy relative to the lowest polymorph listed for this composition is 0 meV/atom. The value obtained for the total energy is -5.8819 eV per atom. The uncorrected formation energy is 0.74 eV/atom. As for the space group: P4/mmm. The calculation puts the density of states at the Fermi level at 0.53 states/eV/atom.

Unit cell a=4.8556 b=4.8556 c=5.4135 alpha=90.00 beta=90.00 gamma=90.00
With the nearest neighbours (Å) after each atom.
Fractional coordinates of all 5 atoms:
Mn  0.0000  0.0000  0.0000  4 Br 3.43, 8 As 3.64
As  0.0000  0.5000  0.5000  2 W 2.43
As  0.5000  0.0000  0.5000  2 W 2.43
W  0.5000  0.5000  0.5000  4 As 2.43, 2 Br 2.71
Br  0.5000  0.5000  0.0000  2 W 2.71

---

The following is a DFT calculation (PBE) of a geometry-optimized Ac2PrNdSe6 structure.

Calculated values
The calculated volume comes out at 34.6 Å³/atom. The value obtained for the total energy is -5.7773 eV per atom. The uncorrected formation energy is -1.91 eV/atom. As for the space group: R3. The calculation puts the density of states at the Fermi level at 0.00 states/eV/atom.

Unit cell a=8.0469 b=8.0469 c=8.0469 alpha=57.34 beta=57.34 gamma=57.34
With the nearest neighbours (Å) after each atom.
Fractional coordinates of all 10 atoms:
Ac  0.0000  0.0000  0.0000  6 Se 3.10-3.16
Ac  0.4997  0.4997  0.4997  6 Se 3.09-3.16
Pr  0.2913  0.2913  0.2913  6 Se 2.95-3.04
Nd  0.7918  0.7918  0.7918  6 Se 2.93-3.01
Se  0.0836  0.6731  0.4159  1 Nd 2.93, 1 Pr 3.04, 2 Ac 3.10-3.16
Se  0.1720  0.5861  0.9136  1 Pr 2.95, 1 Nd 3.01, 2 Ac 3.09-3.16
Se  0.4159  0.0836  0.6731  1 Nd 2.93, 1 Pr 3.04, 2 Ac 3.10-3.16
Se  0.5861  0.9136  0.1720  1 Pr 2.95, 1 Nd 3.01, 2 Ac 3.09-3.16
Se  0.6731  0.4159  0.0836  1 Nd 2.93, 1 Pr 3.04, 2 Ac 3.10-3.16
Se  0.9136  0.1720  0.5861  1 Pr 2.95, 1 Nd 3.01, 2 Ac 3.09-3.16

---

The following is a DFT calculation (PBE) of a geometry-optimized Y2FeSn structure.

Calculated values
For the formation energy, the calculation gives 0.1208 eV per atom. The calculated volume comes out at 24.3 Å³/atom. The value obtained for the total energy is -6.2276 eV per atom. As for the space group: I-42d. The calculation puts the density of states at the Fermi level at 1.07 states/eV/atom.

Unit cell a=7.9419 b=7.9419 c=6.1767 alpha=90.00 beta=90.00 gamma=90.00
With the nearest neighbours (Å) after each atom.
Fractional coordinates of all 16 atoms:
Y  0.1953  0.2500  0.1250  2 Fe 2.64
Y  0.2500  0.6953  0.3750  2 Fe 2.64
Y  0.2500  0.8047  0.8750  2 Fe 2.64
Y  0.3047  0.2500  0.6250  2 Fe 2.64
Y  0.6953  0.7500  0.6250  2 Fe 2.64
Y  0.7500  0.1953  0.8750  2 Fe 2.64
Y  0.7500  0.3047  0.3750  2 Fe 2.64
Y  0.8047  0.7500  0.1250  2 Fe 2.64
Fe  0.0000  0.0000  0.0000  4 Y 2.64
Fe  0.0000  0.5000  0.2500  4 Y 2.64
Fe  0.5000  0.0000  0.7500  4 Y 2.64
Fe  0.5000  0.5000  0.5000  4 Y 2.64
Sn  0.0000  0.0000  0.5000  2 Fe 3.09, 8 Y 3.22-3.42
Sn  0.0000  0.5000  0.7500  2 Fe 3.09, 8 Y 3.22-3.42
Sn  0.5000  0.0000  0.2500  2 Fe 3.09, 8 Y 3.22-3.42
Sn  0.5000  0.5000  0.0000  2 Fe 3.09, 8 Y 3.22-3.42

---

The following is a DFT calculation (PBE) of a geometry-optimized Na6TeN4 structure.

Calculated values
The calculated volume comes out at 15.5 Å³/atom. The value obtained for the total energy is -3.9116 eV per atom. The uncorrected formation energy is 0.12 eV/atom. As for the space group: P4_2/nmc.

Unit cell a=7.6307 b=7.6307 c=5.8518 alpha=90.00 beta=90.00 gamma=90.00
With the nearest neighbours (Å) after each atom.
Fractional coordinates of all 22 atoms:
Na  0.0433  0.5433  0.2500  4 N 2.48-2.52
Na  0.0433  0.9567  0.2500  4 N 2.48-2.52
Na  0.2500  0.2500  0.1128  2 N 2.37
Na  0.2500  0.2500  0.6128  2 N 2.37
Na  0.4567  0.5433  0.2500  4 N 2.48-2.52
Na  0.4567  0.9567  0.2500  4 N 2.48-2.52
Na  0.5433  0.0433  0.7500  4 N 2.48-2.52
Na  0.5433  0.4567  0.7500  4 N 2.48-2.52
Na  0.7500  0.7500  0.3872  2 N 2.37
Na  0.7500  0.7500  0.8872  2 N 2.37
Na  0.9567  0.0433  0.7500  4 N 2.48-2.52
Na  0.9567  0.4567  0.7500  4 N 2.48-2.52
Te  0.2500  0.7500  0.7500  4 N 2.00
Te  0.7500  0.2500  0.2500  4 N 2.00
N  0.0251  0.7500  0.5751  1 Te 2.00
N  0.2500  0.5251  0.9249  1 Te 2.00
N  0.2500  0.9749  0.9249  1 Te 2.00
N  0.4749  0.7500  0.5751  1 Te 2.00
N  0.5251  0.2500  0.4249  1 Te 2.00
N  0.7500  0.0251  0.0751  1 Te 2.00
N  0.7500  0.4749  0.0751  1 Te 2.00
N  0.9749  0.2500  0.4249  1 Te 2.00

---

The following is a DFT calculation (PBE) of a geometry-optimized Tc3AgS structure.

Calculated values
The calculated volume comes out at 16.5 Å³/atom. The energy relative to the lowest polymorph listed for this composition is 0 meV/atom. The value obtained for the total energy is -7.0402 eV per atom. The uncorrected formation energy is 0.58 eV/atom. As for the space group: Pm-3m. The calculation puts the density of states at the Fermi level at 0.68 states/eV/atom.

Unit cell a=4.3575 b=4.3575 c=4.3575 alpha=90.00 beta=90.00 gamma=90.00
With the nearest neighbours (Å) after each atom.
Fractional coordinates of all 5 atoms:
Tc  0.0000  0.0000  0.5000  2 S 2.18
Tc  0.0000  0.5000  0.0000  2 S 2.18
Tc  0.5000  0.0000  0.0000  2 S 2.18
Ag  0.5000  0.5000  0.5000  12 Tc 3.08
S  0.0000  0.0000  0.0000  6 Tc 2.18

---

Copy entry 5 word for word.
The following is a DFT calculation (PBE) of a geometry-optimized Ac2PrNdSe6 structure.

Calculated values
The calculated volume comes out at 34.6 Å³/atom. The value obtained for the total energy is -5.7773 eV per atom. The uncorrected formation energy is -1.91 eV/atom. As for the space group: R3. The calculation puts the density of states at the Fermi level at 0.00 states/eV/atom.

Unit cell a=8.0469 b=8.0469 c=8.0469 alpha=57.34 beta=57.34 gamma=57.34
With the nearest neighbours (Å) after each atom.
Fractional coordinates of all 10 atoms:
Ac  0.0000  0.0000  0.0000  6 Se 3.10-3.16
Ac  0.4997  0.4997  0.4997  6 Se 3.09-3.16
Pr  0.2913  0.2913  0.2913  6 Se 2.95-3.04
Nd  0.7918  0.7918  0.7918  6 Se 2.93-3.01
Se  0.0836  0.6731  0.4159  1 Nd 2.93, 1 Pr 3.04, 2 Ac 3.10-3.16
Se  0.1720  0.5861  0.9136  1 Pr 2.95, 1 Nd 3.01, 2 Ac 3.09-3.16
Se  0.4159  0.0836  0.6731  1 Nd 2.93, 1 Pr 3.04, 2 Ac 3.10-3.16
Se  0.5861  0.9136  0.1720  1 Pr 2.95, 1 Nd 3.01, 2 Ac 3.09-3.16
Se  0.6731  0.4159  0.0836  1 Nd 2.93, 1 Pr 3.04, 2 Ac 3.10-3.16
Se  0.9136  0.1720  0.5861  1 Pr 2.95, 1 Nd 3.01, 2 Ac 3.09-3.16

---

Q: What is the calculated volume in the third record?
A: 26.1 Å³/atom